No. 1
VASP calculation (PBE) on crystalline CaGd2N at its relaxed geometry.

abc: 3.566 3.566 28.749
angles: 90.00 90.00 120.00
Positions (direct):
1 Ca 0.000 0.000 0.000
2 Ca 0.333 0.667 0.667
3 Ca 0.667 0.333 0.333
4 Gd 0.000 0.000 0.120
5 Gd 0.000 0.000 0.880
6 Gd 0.333 0.667 0.546
7 Gd 0.333 0.667 0.787
8 Gd 0.667 0.333 0.213
9 Gd 0.667 0.333 0.454
10 N 0.000 0.000 0.500
11 N 0.333 0.667 0.167
12 N 0.667 0.333 0.833

Results
N(E_F)   0.752 states/eV/atom
Crystal system   trigonal
SG   R-3m
Formation energy from raw total energies   -0.664 eV/atom
Calculated total energy   -10.286 eV per atom



No. 2
VASP calculation (PBE) on crystalline Mg2CrP at its relaxed geometry.

abc: 3.074 3.077 7.033
angles: 90.00 90.09 90.00
Positions (direct):
1 Mg 0.000 0.000 0.000
2 Mg 0.499 0.500 0.659
3 Cr 0.998 0.000 0.391
4 P 0.498 0.500 0.267

Results
N(E_F)   0.223 states/eV/atom
Crystal system   monoclinic
Formation enthalpy at 0 K   -135 meV per atom
SG   Pm
Calculated total energy   -4.690 eV per atom



No. 3
VASP calculation (PBE) on crystalline Fe2NiRh at its relaxed geometry.

abc: 3.686 3.686 3.627
angles: 90.00 90.00 90.00
Positions (direct):
1 Fe 0.000 0.500 0.000
2 Fe 0.500 0.000 0.000
3 Ni 0.000 0.000 0.500
4 Rh 0.500 0.500 0.500

Results
N(E_F)   1.140 states/eV/atom
Crystal system   tetragonal
Formation enthalpy at 0 K   -30 meV per atom
SG   P4/mmm
Calculated total energy   -7.544 eV per atom



No. 4
VASP calculation (PBE) on crystalline NaAg3Pd at its relaxed geometry.

abc: 4.788 4.788 4.788
angles: 90.00 90.00 90.00
Positions (direct):
1 Na 0.000 0.000 0.000
2 Ag 0.000 0.000 0.500
3 Ag 0.000 0.500 0.000
4 Ag 0.500 0.000 0.000
5 Pd 0.500 0.500 0.500

Results
N(E_F)   0.282 states/eV/atom
Crystal system   cubic
Formation enthalpy at 0 K   892 meV per atom
SG   Pm-3m
Calculated total energy   -2.121 eV per atom



Q: Which value of N(E_F) does entry 2 give?
A: 0.223 states/eV/atom



Q: N(E_F) of number 1 (CaGd2N)?
A: 0.752 states/eV/atom